Below is a geometry-optimized FeCuNi structure, with properties calculated at the GGA-PBEsol level.

The structure in extended XYZ format:
```
3
Lattice="2.478 0.000 0.000 -1.239 2.146 0.000 0.000 0.000 6.153" Properties=species:S:1:pos:R:3 pbc="T T T"
Fe 0.000 0.000 0.000
Cu 1.239 0.715 2.108
Ni 0.000 1.431 4.169
```

Calculated values
- Final energy: -6.4271 eV per atom
- Space-group type: P3m1 (156)
- Size of the total moment: 3.051 μB per formula unit
- Fermi-level density of states: 1.949 states/eV/cell
- Calculated formation energy: 17 kJ/mol of formula units
- Offset from the most stable computed form: 30 meV per atom

Below is a geometry-optimized Fe2CuNi structure, with properties calculated at the GGA-PBEsol level.

The structure in extended XYZ format:
```
4
Lattice="4.099 -1.236 0.000 4.099 1.236 0.000 -0.731 0.000 4.331" Properties=species:S:1:pos:R:3 pbc="T T T"
Fe 0.000 0.000 0.000
Fe 1.513 0.000 3.184
Cu 3.720 0.000 2.135
Ni 5.951 0.000 1.018
```

Calculated values
- Final energy: -7.0228 eV per atom
- Space-group type: Cm (8)
- Size of the total moment: 5.637 μB per formula unit
- Fermi-level density of states: 3.341 states/eV/cell
- Calculated formation energy: 32 kJ/mol of formula units
- Offset from the most stable computed form: 18 meV per atom

Below is a geometry-optimized FeCuNi2 structure, with properties calculated at the GGA-PBEsol level.

The structure in extended XYZ format:
```
4
Lattice="4.130 -1.238 0.000 4.130 1.238 0.000 -0.762 0.000 4.211" Properties=species:S:1:pos:R:3 pbc="T T T"
Fe 0.000 0.000 0.000
Cu 1.469 0.000 3.088
Ni 3.706 0.000 2.079
Ni 6.007 0.000 0.988
```

Calculated values
- Final energy: -6.3741 eV per atom
- Space-group type: Cm (8)
- Size of the total moment: 3.578 μB per formula unit
- Fermi-level density of states: 3.754 states/eV/cell
- Calculated formation energy: 11 kJ/mol of formula units

Below is a geometry-optimized FeCuNi2 structure, with properties calculated at the GGA-PBEsol level.

The structure in extended XYZ format:
```
4
Lattice="2.486 0.000 0.000 0.000 3.431 0.000 0.000 0.000 5.040" Properties=species:S:1:pos:R:3 pbc="T T T"
Fe 0.000 0.000 0.000
Cu 0.000 0.000 2.520
Ni 1.243 1.715 1.251
Ni 1.243 1.715 3.790
```

Calculated values
- Final energy: -6.4158 eV per atom
- Space-group type: Pmmm (47)
- Size of the total moment: 3.732 μB per formula unit
- Fermi-level density of states: 2.274 states/eV/cell
- Calculated formation energy: -5 kJ/mol of formula units

Below is a geometry-optimized FeCuNi structure, with properties calculated at the GGA-PBEsol level.

The structure in extended XYZ format:
```
3
Lattice="-1.237 1.237 5.324 1.237 -1.237 5.324 1.237 1.237 -5.324" Properties=species:S:1:pos:R:3 pbc="T T T"
Fe 0.000 0.000 0.000
Cu 0.000 0.000 3.493
Ni 0.000 0.000 7.034
```

Calculated values
- Final energy: -6.4310 eV per atom
- Space-group type: I4mm (107)
- Size of the total moment: 2.960 μB per formula unit
- Fermi-level density of states: 2.884 states/eV/cell
- Calculated formation energy: 16 kJ/mol of formula units
- Offset from the most stable computed form: 26 meV per atom

Below is a geometry-optimized FeCu2Ni structure, with properties calculated at the GGA-PBEsol level.

The structure in extended XYZ format:
```
4
Lattice="2.480 0.000 0.000 0.000 2.480 0.000 0.000 0.000 7.128" Properties=species:S:1:pos:R:3 pbc="T T T"
Fe 0.000 0.000 0.000
Cu 0.000 0.000 3.480
Cu 1.240 1.240 5.294
Ni 1.240 1.240 1.709
```

Calculated values
- Final energy: -5.9056 eV per atom
- Space-group type: P4mm (99)
- Size of the total moment: 2.919 μB per formula unit
- Fermi-level density of states: 2.819 states/eV/cell
- Calculated formation energy: 16 kJ/mol of formula units